DFT (GGA+U) results for a relaxed FeH3O crystal.

The value obtained for the energy relative to the lowest polymorph listed for this composition is 39.9 meV/atom.

The space group is Pm-3m (No. 221) and the conventional cell measures 3.2349, 3.2349 and 3.2349 Å, with angles of 90.00, 90.00 and 90.00 degrees. Symmetry generates all atoms from Fe at (0.0000, 0.0000, 0.0000), H at (0.0000, 0.5000, 0.5000) and O at (0.5000, 0.5000, 0.5000).